--- w ---
The following is a meta-GGA SCAN calculation of a PBEsol-optimized structure of FeAuBr2, from Alexandria.

Unit cell a=3.0658 b=3.0658 c=8.9350 alpha=90.00 beta=90.00 gamma=90.00
Positions (direct):
Br 0.0000 0.0000 0.1790
Br 0.0000 0.0000 0.8210
Au 0.5000 0.5000 0.5000
Fe 0.5000 0.5000 0.0000

Symmetry = P4/mmm (123)
Spin magnetization = 3.9 μB/cell

=====

--- x ---
The following is a meta-GGA SCAN calculation of a PBEsol-optimized structure of FeAuBr2, from Alexandria.

Unit cell a=3.1829 b=3.1829 c=8.0785 alpha=90.00 beta=90.00 gamma=90.00
Positions (direct):
Br 0.5000 0.5000 0.3310
Br 0.0000 0.0000 0.9390
Fe 0.0000 0.0000 0.5158
Au 0.5000 0.5000 0.7142

Symmetry = P4mm (99)
Spin magnetization = 3.4 μB/cell

=====

Stability check: which of them is least stable? w.

=====

--- w ---
The following is a meta-GGA SCAN calculation of a PBEsol-optimized structure of HAuBr2, from Alexandria.

Unit cell a=5.5775 b=6.4467 c=5.5775 alpha=115.63 beta=90.00 gamma=115.63
Positions (direct):
Br 0.7999 0.2500 0.8750
Br 0.6250 0.7500 0.2001
Br 0.1250 0.7500 0.5499
Br 0.4501 0.2500 0.3750
H 0.7500 0.5000 0.2500
H 0.5000 0.0000 0.5000
Au 0.0000 0.0000 0.0000
Au 0.2500 0.5000 0.7500

Symmetry = I-42d (122)
Spin magnetization = 0.0 μB/cell

=====

--- x ---
The following is a meta-GGA SCAN calculation of a PBEsol-optimized structure of HAuBr2, from Alexandria.

Unit cell a=3.5313 b=3.5313 c=7.6364 alpha=76.63 beta=76.63 gamma=60.00
Positions (direct):
H 0.5000 0.5000 0.5000
Au 0.0000 0.0000 0.0000
Br 0.8916 0.8916 0.3253
Br 0.1084 0.1084 0.6747

Symmetry = R-3m (166)
Spin magnetization = 0.0 μB/cell

=====

Stability check: which of them is least stable? x.

=====

--- w ---
The following is a meta-GGA SCAN calculation of a PBEsol-optimized structure of IrAu2Br, from Alexandria.

Unit cell a=3.4011 b=4.9872 c=4.9857 alpha=116.71 beta=90.00 gamma=90.00
Positions (direct):
Au 0.0000 0.2645 0.2355
Au 0.0000 0.7355 0.7645
Ir 0.5000 0.5000 0.0000
Br 0.5000 0.0000 0.5000

Symmetry = Cmmm (65)
Spin magnetization = 0.0 μB/cell

=====

--- x ---
The following is a meta-GGA SCAN calculation of a PBEsol-optimized structure of IrAu2Br, from Alexandria.

Unit cell a=2.7360 b=2.7360 c=10.5407 alpha=90.00 beta=90.00 gamma=90.00
Positions (direct):
Au 0.0000 0.0000 0.6946
Au 0.0000 0.0000 0.3054
Br 0.5000 0.5000 0.0000
Ir 0.5000 0.5000 0.5000

Symmetry = P4/mmm (123)
Spin magnetization = 0.0 μB/cell

=====

Stability check: which of them is least stable? x.

=====

--- w ---
The following is a meta-GGA SCAN calculation of a PBEsol-optimized structure of IrAu2Br, from Alexandria.

Unit cell a=2.8309 b=4.4129 c=6.4814 alpha=109.90 beta=102.61 gamma=90.00
Positions (direct):
Ir 0.0000 0.5000 0.0000
Au 0.2974 0.2974 0.5949
Au 0.7026 0.7026 0.4051
Br 0.5000 0.0000 0.0000

Symmetry = Immm (71)
Spin magnetization = 0.3 μB/cell

=====

--- x ---
The following is a meta-GGA SCAN calculation of a PBEsol-optimized structure of IrAu2Br, from Alexandria.

Unit cell a=2.8079 b=2.8719 c=10.0487 alpha=90.00 beta=90.00 gamma=119.27
Positions (direct):
Ir 0.5000 0.0000 0.0000
Au 0.0000 0.0000 0.7683
Au 0.0000 0.0000 0.2317
Br 0.5000 0.0000 0.5000

Symmetry = Cmmm (65)
Spin magnetization = 0.0 μB/cell

=====

Stability check: which of them is least stable? w.